A plane-wave DFT calculation with meta-GGA SCAN was carried out for a crystal of Li3CaNi relaxed with PBEsol.

Properties
Space group ... Pm-3m (221)
Energy of formation ... 0.183 eV per atom
Spin magnetization ... 0.0000 μB per atom
E_tot ... -32.09 eV per cell

Cell: 4.6590 4.6590 4.6590 Å, 90.00 90.00 90.00°
With the nearest neighbours (Å) after each atom.
Fractional positions:
Ni1 0.0000 0.0000 0.0000  6 Li 2.33
Ca1 0.5000 0.5000 0.5000  12 Li 3.29
Li1 0.0000 0.5000 0.0000  2 Ni 2.33
Li2 0.0000 0.0000 0.5000  2 Ni 2.33
Li3 0.5000 0.0000 0.0000  2 Ni 2.33


A plane-wave DFT calculation with meta-GGA SCAN was carried out for a crystal of LaCdPt3 relaxed with PBEsol.

Properties
Energy above the most stable polymorph in this dataset ... 0 meV per atom
Space group ... Pm-3m (221)
Energy of formation ... 0.082 eV per atom
Spin magnetization ... 0.0000 μB per atom
E_tot ... -283.69 eV per cell

Cell: 4.8944 4.8944 4.8944 Å, 90.00 90.00 90.00°
With the nearest neighbours (Å) after each atom.
Fractional positions:
Cd1 0.0000 0.0000 0.0000  6 Pt 2.45
Pt1 0.0000 0.5000 0.0000  2 Cd 2.45
Pt2 0.0000 0.0000 0.5000  2 Cd 2.45
Pt3 0.5000 0.0000 0.0000  2 Cd 2.45
La1 0.5000 0.5000 0.5000  12 Pt 3.46


A plane-wave DFT calculation with meta-GGA SCAN was carried out for a crystal of CuRhAu2 relaxed with PBEsol.

Properties
Energy above the most stable polymorph in this dataset ... 0 meV per atom
Space group ... Cmmm (65)
Energy of formation ... 0.031 eV per atom
Spin magnetization ... 0.0009 μB per atom
E_tot ... -187.16 eV per cell

Cell: 2.7652 4.7163 4.7163 Å, 106.44 90.00 90.00°
With the nearest neighbours (Å) after each atom.
Fractional positions:
Rh1 0.5000 0.5000 0.5000  8 Au 2.73, 2 Rh 2.77, 2 Cu 2.82
Au1 0.0000 0.5000 0.0000  4 Cu 2.73, 4 Rh 2.73, 4 Au 2.77-2.82
Au2 0.0000 0.0000 0.5000  4 Rh 2.73, 4 Cu 2.73, 4 Au 2.77-2.82
Cu1 0.5000 0.0000 0.0000  8 Au 2.73, 2 Cu 2.77, 2 Rh 2.82


A plane-wave DFT calculation with meta-GGA SCAN was carried out for a crystal of TlICl3 relaxed with PBEsol.

Properties
Space group ... Pm-3m (221)
Spin magnetization ... 0.2901 μB per atom
Energy relative to the elements, uncorrected ... -0.25 eV per atom
E_tot ... -134.27 eV per cell

Cell: 5.2559 5.2559 5.2559 Å, 90.00 90.00 90.00°
With the nearest neighbours (Å) after each atom.
Fractional positions:
I1 0.5000 0.5000 0.5000  12 Cl 3.72
Tl1 0.0000 0.0000 0.0000  6 Cl 2.63
Cl1 0.0000 0.5000 0.0000  2 Tl 2.63
Cl2 0.0000 0.0000 0.5000  2 Tl 2.63
Cl3 0.5000 0.0000 0.0000  2 Tl 2.63


A plane-wave DFT calculation with meta-GGA SCAN was carried out for a crystal of Sn2BiF relaxed with PBEsol.

Properties
Space group ... Fm-3m (225)
Spin magnetization ... 0.0000 μB per atom
Energy relative to the elements, uncorrected ... -0.52 eV per atom
E_tot ... -156.03 eV per cell

Cell: 5.1254 5.1254 5.1254 Å, 60.00 60.00 60.00°
With the nearest neighbours (Å) after each atom.
Fractional positions:
F1 0.0000 0.0000 0.0000  8 Sn 3.14
Bi1 0.5000 0.5000 0.5000  8 Sn 3.14
Sn1 0.2500 0.2500 0.2500  4 F 3.14, 4 Bi 3.14
Sn2 0.7500 0.7500 0.7500  4 Bi 3.14, 4 F 3.14


A plane-wave DFT calculation with meta-GGA SCAN was carried out for a crystal of SbSe2Cl relaxed with PBEsol.

Properties
Energy above the most stable polymorph in this dataset ... 254 meV per atom
Space group ... P4/mmm (123)
Spin magnetization ... 0.0000 μB per atom
Energy relative to the elements, uncorrected ... 0.04 eV per atom
E_tot ... -85.25 eV per cell

Cell: 3.7811 3.7811 6.4824 Å, 90.00 90.00 90.00°
With the nearest neighbours (Å) after each atom.
Fractional positions:
Sb1 0.5000 0.5000 0.5000  8 Se 2.96, 2 Cl 3.24
Se1 0.0000 0.0000 0.6963  1 Se 2.54
Se2 0.0000 0.0000 0.3037  1 Se 2.54
Cl1 0.5000 0.5000 0.0000  2 Sb 3.24, 8 Se 3.32